Entry 1:
# AsIrO2F, relaxed, DFT PBE
data_AsIrO2F
_chemical_formula_sum 'As1 Ir1 O2 F1'
_space_group_name_H-M_alt 'P 4/m m m'
_space_group_IT_number 123
_space_group_name_Hall '-P 4 2'
_cell_length_a 3.936
_cell_length_b 3.936
_cell_length_c 4.246
_cell_angle_alpha 90.00
_cell_angle_beta 90.00
_cell_angle_gamma 90.00
loop_
_atom_site_label
_atom_site_type_symbol
_atom_site_fract_x
_atom_site_fract_y
_atom_site_fract_z
_atom_site_occupancy
As1 As 0.000 0.000 0.000 1
Ir1 Ir 0.500 0.500 0.500 1
O1 O 0.000 0.500 0.500 1
F1 F 0.500 0.500 0.000 1
# formation energy from raw total energies: -3 kJ per mole of atoms
# calculated volume: 13.154 Å³/atom
# DOS at the Fermi energy: 4.5 states/eV/cell



Entry 2:
# AsIrO2F, relaxed, DFT PBE
data_AsIrO2F
_chemical_formula_sum 'As1 Ir1 O2 F1'
_space_group_name_H-M_alt 'P 4/m m m'
_space_group_IT_number 123
_space_group_name_Hall '-P 4 2'
_cell_length_a 4.055
_cell_length_b 4.055
_cell_length_c 3.980
_cell_angle_alpha 90.00
_cell_angle_beta 90.00
_cell_angle_gamma 90.00
loop_
_atom_site_label
_atom_site_type_symbol
_atom_site_fract_x
_atom_site_fract_y
_atom_site_fract_z
_atom_site_occupancy
As1 As 0.000 0.000 0.000 1
Ir1 Ir 0.500 0.500 0.500 1
O1 O 0.000 0.500 0.000 1
F1 F 0.000 0.000 0.500 1
# formation energy from raw total energies: 22 kJ per mole of atoms
# calculated volume: 13.086 Å³/atom
# DOS at the Fermi energy: 3.1 states/eV/cell



Entry 3:
# PmAsIrF, relaxed, DFT PBE
data_PmAsIrF
_chemical_formula_sum 'Pm2 As2 Ir2 F2'
_space_group_name_H-M_alt 'P 4/n m m'
_space_group_IT_number 129
_cell_length_a 4.049
_cell_length_b 4.049
_cell_length_c 8.402
_cell_angle_alpha 90.00
_cell_angle_beta 90.00
_cell_angle_gamma 90.00
loop_
_space_group_symop_operation_xyz
'x,y,z'
'-x,-y,-z'
'-y+1/2,x,z'
'y+1/2,-x,-z'
'-x+1/2,-y+1/2,z'
'x+1/2,y+1/2,-z'
'y,-x+1/2,z'
'-y,x+1/2,-z'
'x+1/2,-y,-z'
'-x+1/2,y,z'
'-y,-x,-z'
'y,x,z'
'-x,y+1/2,-z'
'x,-y+1/2,z'
'y+1/2,x+1/2,-z'
'-y+1/2,-x+1/2,z'
loop_
_atom_site_label
_atom_site_type_symbol
_atom_site_fract_x
_atom_site_fract_y
_atom_site_fract_z
_atom_site_occupancy
Pm1 Pm 0.250 0.250 0.188 1
As1 As 0.250 0.250 0.677 1
Ir1 Ir 0.250 0.750 0.500 1
F1 F 0.250 0.750 0.000 1
# formation energy from raw total energies: -179 kJ per mole of atoms
# calculated volume: 17.220 Å³/atom
# DOS at the Fermi energy: 2.9 states/eV/cell



Entry 4:
# PrAsIrF, relaxed, DFT PBE
data_PrAsIrF
_chemical_formula_sum 'Pr2 As2 Ir2 F2'
_space_group_name_H-M_alt 'P 4/n m m'
_space_group_IT_number 129
_cell_length_a 4.069
_cell_length_b 4.069
_cell_length_c 8.575
_cell_angle_alpha 90.00
_cell_angle_beta 90.00
_cell_angle_gamma 90.00
loop_
_space_group_symop_operation_xyz
'x,y,z'
'-x,-y,-z'
'-y+1/2,x,z'
'y+1/2,-x,-z'
'-x+1/2,-y+1/2,z'
'x+1/2,y+1/2,-z'
'y,-x+1/2,z'
'-y,x+1/2,-z'
'x+1/2,-y,-z'
'-x+1/2,y,z'
'-y,-x,-z'
'y,x,z'
'-x,y+1/2,-z'
'x,-y+1/2,z'
'y+1/2,x+1/2,-z'
'-y+1/2,-x+1/2,z'
loop_
_atom_site_label
_atom_site_type_symbol
_atom_site_fract_x
_atom_site_fract_y
_atom_site_fract_z
_atom_site_occupancy
Pr1 Pr 0.250 0.250 0.189 1
As1 As 0.250 0.250 0.672 1
Ir1 Ir 0.250 0.750 0.500 1
F1 F 0.250 0.750 0.000 1
# formation energy from raw total energies: -179 kJ per mole of atoms
# calculated volume: 17.750 Å³/atom
# DOS at the Fermi energy: 2.6 states/eV/cell



Entry 5:
# Rb2AsIrF6, relaxed, DFT PBE
data_Rb2AsIrF6
_chemical_formula_sum 'Rb4 As2 Ir2 F12'
_space_group_name_H-M_alt 'I 4/m m m'
_space_group_IT_number 139
_space_group_name_Hall '-I 4 2'
_cell_length_a 6.179
_cell_length_b 6.179
_cell_length_c 9.345
_cell_angle_alpha 90.00
_cell_angle_beta 90.00
_cell_angle_gamma 90.00
loop_
_atom_site_label
_atom_site_type_symbol
_atom_site_fract_x
_atom_site_fract_y
_atom_site_fract_z
_atom_site_occupancy
Rb1 Rb 0.000 0.500 0.250 1
As1 As 0.000 0.000 0.000 1
Ir1 Ir 0.000 0.000 0.500 1
F1 F 0.000 0.000 0.219 1
F2 F 0.240 0.240 0.000 1
# formation energy from raw total energies: -165 kJ per mole of atoms
# calculated volume: 17.840 Å³/atom
# DOS at the Fermi energy: 1.4 states/eV/cell



Entry 6:
# AsIrSe2F, relaxed, DFT PBE
data_AsIrSe2F
_chemical_formula_sum 'As1 Ir1 Se2 F1'
_space_group_name_H-M_alt 'P 4/m m m'
_space_group_IT_number 123
_space_group_name_Hall '-P 4 2'
_cell_length_a 4.944
_cell_length_b 4.944
_cell_length_c 4.753
_cell_angle_alpha 90.00
_cell_angle_beta 90.00
_cell_angle_gamma 90.00
loop_
_atom_site_label
_atom_site_type_symbol
_atom_site_fract_x
_atom_site_fract_y
_atom_site_fract_z
_atom_site_occupancy
As1 As 0.000 0.000 0.000 1
Ir1 Ir 0.000 0.000 0.500 1
Se1 Se 0.000 0.500 0.500 1
F1 F 0.500 0.500 0.000 1
# energy above the lowest structure with this stoichiometry: 0.0 meV per atom
# formation energy from raw total energies: 39 kJ per mole of atoms
# calculated volume: 23.236 Å³/atom
# DOS at the Fermi energy: 7.9 states/eV/cell



Entry 7:
# AsIrSe2F, relaxed, DFT PBE
data_AsIrSe2F
_chemical_formula_sum 'As1 Ir1 Se2 F1'
_space_group_name_H-M_alt 'P 4/m m m'
_space_group_IT_number 123
_space_group_name_Hall '-P 4 2'
_cell_length_a 4.741
_cell_length_b 4.741
_cell_length_c 4.040
_cell_angle_alpha 90.00
_cell_angle_beta 90.00
_cell_angle_gamma 90.00
loop_
_atom_site_label
_atom_site_type_symbol
_atom_site_fract_x
_atom_site_fract_y
_atom_site_fract_z
_atom_site_occupancy
As1 As 0.000 0.000 0.000 1
Ir1 Ir 0.500 0.500 0.000 1
Se1 Se 0.000 0.500 0.500 1
F1 F 0.000 0.000 0.500 1
# energy above the lowest structure with this stoichiometry: 431.3 meV per atom
# formation energy from raw total energies: 80 kJ per mole of atoms
# calculated volume: 18.162 Å³/atom
# DOS at the Fermi energy: 5.2 states/eV/cell



Entry 8:
# Sr2AsIrF, relaxed, DFT PBE
data_Sr2AsIrF
_chemical_formula_sum 'Sr2 As1 Ir1 F1'
_space_group_name_H-M_alt 'P 4/m m m'
_space_group_IT_number 123
_space_group_name_Hall '-P 4 2'
_cell_length_a 4.970
_cell_length_b 4.970
_cell_length_c 4.624
_cell_angle_alpha 90.00
_cell_angle_beta 90.00
_cell_angle_gamma 90.00
loop_
_atom_site_label
_atom_site_type_symbol
_atom_site_fract_x
_atom_site_fract_y
_atom_site_fract_z
_atom_site_occupancy
Sr1 Sr 0.000 0.500 0.000 1
As1 As 0.000 0.000 0.500 1
Ir1 Ir 0.500 0.500 0.500 1
F1 F 0.000 0.000 0.000 1
# formation energy from raw total energies: -66 kJ per mole of atoms
# calculated volume: 22.840 Å³/atom
# DOS at the Fermi energy: 2.9 states/eV/cell



Entry 9:
# SrAsIrF2, relaxed, DFT PBE
data_SrAsIrF2
_chemical_formula_sum 'Sr1 As1 Ir1 F2'
_space_group_name_H-M_alt 'P 4/m m m'
_space_group_IT_number 123
_space_group_name_Hall '-P 4 2'
_cell_length_a 4.268
_cell_length_b 4.268
_cell_length_c 7.044
_cell_angle_alpha 90.00
_cell_angle_beta 90.00
_cell_angle_gamma 90.00
loop_
_atom_site_label
_atom_site_type_symbol
_atom_site_fract_x
_atom_site_fract_y
_atom_site_fract_z
_atom_site_occupancy
Sr1 Sr 0.000 0.000 0.000 1
As1 As 0.500 0.500 0.500 1
Ir1 Ir 0.000 0.000 0.500 1
F1 F 0.000 0.500 0.000 1
# formation energy from raw total energies: -86 kJ per mole of atoms
# calculated volume: 25.658 Å³/atom
# DOS at the Fermi energy: 2.5 states/eV/cell



Entry 10:
# ZrAsIr2F, relaxed, DFT PBE
data_ZrAsIr2F
_chemical_formula_sum 'Zr1 As1 Ir2 F1'
_space_group_name_H-M_alt 'P 4/m m m'
_space_group_IT_number 123
_space_group_name_Hall '-P 4 2'
_cell_length_a 4.492
_cell_length_b 4.492
_cell_length_c 5.187
_cell_angle_alpha 90.00
_cell_angle_beta 90.00
_cell_angle_gamma 90.00
loop_
_atom_site_label
_atom_site_type_symbol
_atom_site_fract_x
_atom_site_fract_y
_atom_site_fract_z
_atom_site_occupancy
Zr1 Zr 0.000 0.000 0.000 1
As1 As 0.000 0.000 0.500 1
Ir1 Ir 0.000 0.500 0.500 1
F1 F 0.500 0.500 0.000 1
# formation energy from raw total energies: 42 kJ per mole of atoms
# calculated volume: 20.936 Å³/atom
# DOS at the Fermi energy: 3.3 states/eV/cell



> The highest formation energy from raw total energies belongs to which entry?

number 7